Below is CrAuSe2 after structural relaxation, with properties calculated at the PBE level.

Calculated values
**Uncorrected energy**: -4.839 eV/atom
**M_tot**: 3.6 μB/f.u.
**Space-group type**: I-4m2 (119)
**Energy relative to the elements, uncorrected**: 0.13 eV per atom

Unit cell a=7.604 b=7.604 c=7.604 alpha=152.21 beta=152.21 gamma=39.70
Sites, in units of the cell vectors:
Se (0.000, 0.000, 0.000)
Cr (0.750, 0.250, 0.500)
Se (0.250, 0.750, 0.500)
Au (0.500, 0.500, 0.000)